No. 1
## TlCdNi2B (SCAN)

Data for TlCdNi2B at its PBEsol-relaxed geometry.

abc: 4.784 4.784 4.060
angles: 90.00 90.00 90.00
Space group P4/mmm (No. 123)
One atom of each set of equivalent atoms:
Tl: 0.000 0.000 0.000 x1
Cd: 0.500 0.500 0.500 x1
Ni: 0.000 0.500 0.000 x2
B: 0.000 0.000 0.500 x1

Results
**ΔE_f**: 7.60 eV per formula unit
**Calculated volume**: 92.91 Å³/f.u.
**VASP energy**: -0.9919 hartree per atom



No. 2
## Co2RuCl (SCAN)

Data for Co2RuCl at its PBEsol-relaxed geometry.

abc: 2.7370 2.7370 23.0063
angles: 90.00 90.00 120.00
Space group R3m (No. 160, hexagonal axes)
One atom of each set of equivalent atoms:
Co: 0.0000 0.0000 0.0000 x3
Co: 0.0000 0.0000 0.2530 x3
Ru: 0.0000 0.0000 0.7506 x3
Cl: 0.0000 0.0000 0.5070 x3

Results
**Formation energy without anion corrections**: 2.0 eV per formula unit
**Calculated volume**: 49.75 Å³/f.u.
**VASP energy**: -0.6930 hartree per atom
**Energy relative to the lowest polymorph listed for this composition**: 185 meV/atom



No. 3
## BaCaSi (SCAN)

Data for BaCaSi at its PBEsol-relaxed geometry.

abc: 8.463 4.992 9.060
angles: 90.00 90.00 90.00
Space group Pnma (No. 62)
One atom of each set of equivalent atoms:
Ba: 0.028 0.250 0.175 x4
Ca: 0.142 0.250 0.575 x4
Si: 0.219 0.750 0.391 x4

Results
**Formation energy without anion corrections**: -1.5 eV per formula unit
**Calculated volume**: 95.69 Å³/f.u.
**VASP energy**: -0.7434 hartree per atom
**Energy relative to the lowest polymorph listed for this composition**: 0 meV/atom



No. 4
## LiZrCu4 (SCAN)

Data for LiZrCu4 at its PBEsol-relaxed geometry.

abc: 6.870 6.870 6.870
angles: 90.00 90.00 90.00
Space group F-43m (No. 216)
One atom of each set of equivalent atoms:
Li: 0.000 0.000 0.000 x4
Zr: 0.250 0.250 0.250 x4
Cu: 0.126 0.126 0.626 x16

Results
**ΔE_f**: -0.91 eV per formula unit
**Calculated volume**: 81.07 Å³/f.u.
**VASP energy**: -0.5806 hartree per atom



No. 5
## LiZrAg2 (SCAN)

Data for LiZrAg2 at its PBEsol-relaxed geometry.

abc: 2.940 3.240 7.125
angles: 90.00 90.00 90.00
Space group Pmmm (No. 47)
One atom of each set of equivalent atoms:
Li: 0.000 0.000 0.000 x1
Zr: 0.000 0.000 0.500 x1
Ag: 0.500 0.500 0.216 x2

Results
**ΔE_f**: -0.45 eV per formula unit
**Calculated volume**: 67.88 Å³/f.u.
**VASP energy**: -0.8845 hartree per atom



No. 6
## B2Ir2Au (SCAN)

Data for B2Ir2Au at its PBEsol-relaxed geometry.

abc: 2.904 2.904 14.165
angles: 90.00 90.00 90.00
Space group I4/mmm (No. 139)
One atom of each set of equivalent atoms:
B: 0.000 0.500 0.250 x4
Ir: 0.000 0.000 0.141 x4
Au: 0.000 0.000 0.500 x2

Results
**ΔE_f**: -0.94 eV per formula unit
**Calculated volume**: 59.75 Å³/f.u.
**VASP energy**: -1.6695 hartree per atom
**Energy relative to the lowest polymorph listed for this composition**: 0 meV/atom



No. 7
## TlCdFe2B (SCAN)

Data for TlCdFe2B at its PBEsol-relaxed geometry.

abc: 4.029 4.029 4.451
angles: 90.00 90.00 90.00
Space group P4/mmm (No. 123)
One atom of each set of equivalent atoms:
Tl: 0.000 0.000 0.000 x1
Cd: 0.500 0.500 0.000 x1
Fe: 0.000 0.500 0.500 x2
B: 0.500 0.500 0.500 x1

Results
**ΔE_f**: 2.38 eV per formula unit
**Calculated volume**: 72.25 Å³/f.u.
**VASP energy**: -1.0590 hartree per atom



No. 8
## HgOs3N (SCAN)

Data for HgOs3N at its PBEsol-relaxed geometry.

abc: 4.091 4.091 4.091
angles: 90.00 90.00 90.00
Space group Pm-3m (No. 221)
One atom of each set of equivalent atoms:
Hg: 0.000 0.000 0.000 x1
Os: 0.000 0.500 0.500 x3
N: 0.500 0.500 0.500 x1

Results
**Formation energy without anion corrections**: 5.5 eV per formula unit
**Calculated volume**: 68.44 Å³/f.u.
**VASP energy**: -2.1140 hartree per atom



No. 9
## BeFe2S (SCAN)

Data for BeFe2S at its PBEsol-relaxed geometry.

abc: 5.247 5.247 5.247
angles: 90.00 90.00 90.00
Space group Fm-3m (No. 225)
One atom of each set of equivalent atoms:
Be: 0.000 0.000 0.000 x4
Fe: 0.250 0.250 0.250 x8
S: 0.000 0.000 0.500 x4

Results
**Formation energy without anion corrections**: 0.5 eV per formula unit
**Calculated volume**: 36.12 Å³/f.u.
**VASP energy**: -0.4567 hartree per atom



No. 10
## Rb2TeAu2 (SCAN)

Data for Rb2TeAu2 at its PBEsol-relaxed geometry.

abc: 6.675 6.675 7.842
angles: 90.00 90.00 90.00
Space group I4/mmm (No. 139)
One atom of each set of equivalent atoms:
Rb: 0.000 0.500 0.250 x4
Te: 0.000 0.000 0.000 x2
Au: 0.000 0.000 0.338 x4

Results
**Formation energy without anion corrections**: -3.2 eV per formula unit
**Calculated volume**: 174.70 Å³/f.u.
**VASP energy**: -1.6188 hartree per atom



No. 11
## SrLa2Os (SCAN)

Data for SrLa2Os at its PBEsol-relaxed geometry.

abc: 6.673 10.307 3.357
angles: 90.00 116.72 90.00
Space group C2/m (No. 12)
One atom of each set of equivalent atoms:
Sr: 0.000 0.000 0.000 x2
La: 0.250 0.250 0.500 x4
Os: 0.000 0.500 0.000 x2

Results
**ΔE_f**: 2.53 eV per formula unit
**Calculated volume**: 103.11 Å³/f.u.
**VASP energy**: -1.6338 hartree per atom
**Energy relative to the lowest polymorph listed for this composition**: 760 meV/atom



No. 12
## NaSr2Cl2 (SCAN)

Data for NaSr2Cl2 at its PBEsol-relaxed geometry.

abc: 4.920 4.920 14.675
angles: 90.00 90.00 90.00
Space group I4/mmm (No. 139)
One atom of each set of equivalent atoms:
Na: 0.000 0.000 0.000 x2
Sr: 0.000 0.000 0.361 x4
Cl: 0.000 0.500 0.250 x4

Results
**Formation energy without anion corrections**: -7.8 eV per formula unit
**Calculated volume**: 177.60 Å³/f.u.
**VASP energy**: -0.5332 hartree per atom



Calculated values (μB per atom) of total moment for the records, taken in order: 0.000, 1.001, 0.000, 0.000, 0.000, 0.000, 0.994, 0.000, 0.000, 0.000, 0.000, 0.000.